Compound: Nd2TeH3
Source: Alexandria via LeMat-Bulk
Functional: PBE-GGA
Structure: optimized geometry

POSCAR file:
```
Nd2TeH3
1.0
4.0700 0.0000 0.0000
-2.0350 3.5247 0.0000
0.0000 0.0000 7.1276
Nd Te H
2 1 3
Cartesian
0.0000 2.3498 2.1052
2.0350 1.1749 5.0224
0.0000 0.0000 0.0000
0.0000 0.0000 3.5638
0.0000 2.3498 4.4747
2.0350 1.1749 2.6529
```

Results
M_tot (μB per cell): 0.000
Total DFT energy (no corrections) (eV per atom): -4.577
Calculated volume (Å³/cell): 102.25